No. 1
12
Lattice="5.738 0.000 0.000 0.000 5.738 0.000 0.000 0.000 5.738" Properties=species:S:1:pos:R:3 comment="LiCoPt (PBE, relaxed)" sg="No. 216" ef_ev_per_atom=0.14 pbc="T T T"
Li 0.000 0.000 0.000
Li 0.000 2.869 2.869
Li 2.869 0.000 2.869
Li 2.869 2.869 0.000
Co 0.000 0.000 2.869
Co 0.000 2.869 0.000
Co 2.869 0.000 0.000
Co 2.869 2.869 2.869
Pt 1.435 1.435 4.304
Pt 1.435 4.304 1.435
Pt 4.304 1.435 1.435
Pt 4.304 4.304 4.304

---

No. 2
12
Lattice="5.101 0.000 0.000 -2.550 4.417 0.000 0.000 0.000 23.212" Properties=species:S:1:pos:R:3 comment="YSn2Bi (PBE, relaxed)" sg="No. 166" ef_ev_per_atom=0.31 pbc="T T T"
Y 0.000 0.000 0.000
Y 0.000 2.945 15.475
Y 2.550 1.472 7.737
Sn 0.000 0.000 8.737
Sn 0.000 0.000 14.475
Sn 0.000 2.945 1.000
Sn 0.000 2.945 6.738
Sn 2.550 1.472 16.474
Sn 2.550 1.472 22.212
Bi 0.000 0.000 11.606
Bi 0.000 2.945 3.869
Bi 2.550 1.472 19.343

---

No. 3
12
Lattice="8.414 0.000 0.000 0.000 8.414 0.000 0.000 0.000 9.793" Properties=species:S:1:pos:R:3 comment="TlCuI4 (PBE, relaxed)" formation_energy_uncorrected_mev_per_atom=-136 sg="No. 131" pbc="T T T"
Tl 0.000 4.207 0.000
Tl 4.207 0.000 4.896
Cu 0.000 0.000 0.000
Cu 0.000 0.000 4.896
I 1.709 1.972 4.896
I 1.709 6.442 4.896
I 1.972 1.709 0.000
I 1.972 6.705 0.000
I 6.442 1.709 0.000
I 6.442 6.705 0.000
I 6.705 1.972 4.896
I 6.705 6.442 4.896

---

No. 4
8
Lattice="2.964 0.000 0.000 0.000 4.749 0.000 0.000 0.000 9.456" Properties=species:S:1:pos:R:3 comment="SrNi2Rh (PBE, relaxed)" sg="No. 44" ef_ev_per_atom=0.33 pbc="T T T"
Sr 0.000 0.000 0.000
Sr 1.482 2.374 4.728
Ni 0.000 0.000 4.622
Ni 0.000 2.374 7.393
Ni 1.482 0.000 2.665
Ni 1.482 2.374 9.351
Rh 0.000 2.374 2.025
Rh 1.482 0.000 6.754

---

No. 5
6
Lattice="0.000 3.892 3.892 3.892 0.000 3.892 3.892 3.892 0.000" Properties=species:S:1:pos:R:3 comment="LaYPt4 (PBE, relaxed)" sg="No. 216" ef_ev_per_atom=-1.09 pbc="T T T"
La 0.000 0.000 0.000
Y 1.946 1.946 1.946
Pt 4.862 2.922 2.922
Pt 2.922 4.862 2.922
Pt 2.922 2.922 4.862
Pt 4.862 4.862 4.862

---

No. 6
16
Lattice="5.747 0.000 0.000 0.000 7.203 0.000 0.000 0.000 12.114" Properties=species:S:1:pos:R:3 comment="KTl6In (PBE, relaxed)" sg="No. 38" ef_ev_per_atom=-0.02 pbc="T T T"
K 0.000 0.000 0.000
K 0.000 3.601 6.057
Tl 0.000 1.751 3.080
Tl 0.000 1.851 9.137
Tl 0.000 5.352 9.137
Tl 0.000 5.452 3.080
Tl 2.874 0.000 2.181
Tl 2.874 0.000 8.237
Tl 2.874 1.677 5.151
Tl 2.874 1.924 11.208
Tl 2.874 3.601 2.180
Tl 2.874 3.601 8.238
Tl 2.874 5.278 11.208
Tl 2.874 5.526 5.151
In 0.000 0.000 6.141
In 0.000 3.601 0.084

---

No. 7
6
Lattice="3.994 0.000 0.000 -0.004 5.569 0.000 -1.993 -2.294 5.624" Properties=species:S:1:pos:R:3 comment="NaSnH (PBE, relaxed)" sg="No. 2" final_energy_ev_per_atom=-2.96 pbc="T T T"
Na 0.002 1.372 1.162
Na 1.996 1.903 4.461
Sn 0.000 -0.893 3.938
Sn 1.997 4.168 1.686
H -0.002 0.892 3.489
H 1.999 2.383 2.134

---

No. 8
10
Lattice="7.145 0.000 0.000 0.000 7.145 0.000 0.000 0.000 5.729" Properties=species:S:1:pos:R:3 comment="Rb2GeAu2 (PBE, relaxed)" sg="No. 127" ef_ev_per_atom=-0.09 pbc="T T T"
Rb 1.244 2.328 0.000
Rb 2.328 5.901 0.000
Rb 4.817 1.244 0.000
Rb 5.901 4.817 0.000
Ge 0.000 0.000 2.865
Ge 3.573 3.573 2.865
Au 1.043 4.616 2.865
Au 2.530 1.043 2.865
Au 4.616 6.102 2.865
Au 6.102 2.530 2.865

---

No. 9
16
Lattice="7.728 0.000 0.000 0.000 7.728 0.000 0.000 0.000 7.728" Properties=species:S:1:pos:R:3 comment="KMgCdPb (PBE, relaxed)" sg="No. 216" ef_ev_per_atom=0.02 pbc="T T T"
K 0.000 0.000 0.000
K 0.000 3.864 3.864
K 3.864 0.000 3.864
K 3.864 3.864 0.000
Mg 0.000 0.000 3.864
Mg 0.000 3.864 0.000
Mg 3.864 0.000 0.000
Mg 3.864 3.864 3.864
Cd 1.932 1.932 5.796
Cd 1.932 5.796 1.932
Cd 5.796 1.932 1.932
Cd 5.796 5.796 5.796
Pb 1.932 1.932 1.932
Pb 1.932 5.796 5.796
Pb 5.796 1.932 5.796
Pb 5.796 5.796 1.932

---

No. 10
9
Lattice="6.413 0.000 0.000 -3.207 5.554 0.000 0.000 0.000 9.018" Properties=species:S:1:pos:R:3 comment="La2Nd7 (PBE, relaxed)" sg="No. 162" ef_ev_per_atom=0.01 pbc="T T T"
La 0.000 3.703 0.000
La 3.207 1.851 0.000
Nd 0.000 0.000 0.000
Nd -1.066 1.847 5.998
Nd -2.140 3.707 3.019
Nd 2.132 0.000 5.998
Nd 1.066 1.847 3.019
Nd 4.281 0.000 3.019
Nd 2.140 3.707 5.998

---

No. 11
8
Lattice="4.252 0.000 0.000 0.000 4.648 0.000 0.000 0.000 4.085" Properties=species:S:1:pos:R:3 comment="H3S (PBE, relaxed)" sg="No. 44" final_energy_ev_per_atom=-3.23 pbc="T T T"
H 0.000 0.000 0.000
H 0.000 1.317 1.133
H 0.000 3.332 1.133
H 2.126 1.008 3.176
H 2.126 2.324 2.043
H 2.126 3.641 3.176
S 0.000 2.324 2.080
S 2.126 0.000 0.038

---

No. 12
15
Lattice="4.843 0.000 0.000 0.000 4.843 0.000 0.000 0.000 20.401" Properties=species:S:1:pos:R:3 comment="Ac4Bi8Au3 (PBE, relaxed)" sg="No. 115" ef_ev_per_atom=-0.63 pbc="T T T"
Ac 0.000 2.421 2.312
Ac 0.000 2.421 12.587
Ac 2.421 0.000 7.814
Ac 2.421 0.000 18.089
Bi 0.000 0.000 5.045
Bi 0.000 0.000 15.356
Bi 0.000 2.421 8.346
Bi 0.000 2.421 18.768
Bi 2.421 0.000 1.633
Bi 2.421 0.000 12.055
Bi 2.421 2.421 5.066
Bi 2.421 2.421 15.335
Au 0.000 0.000 0.000
Au 0.000 0.000 10.201
Au 2.421 2.421 10.201